{
  "formula": "TbMn2GeO6",
  "functional": "GGA+U",
  "state": "relaxed",
  "e_tot_ev_per_cell": -73.80,
  "lattice_angstrom": [[2.617, 1.511, 4.846], [-2.617, 1.511, 4.846], [0.000, -3.022, 4.846]],
  "species": ["Tb", "Mn", "Mn", "Ge", "O", "O", "O", "O", "O", "O"],
  "fractional_positions": [[0.000, 0.000, 0.000], [0.270, 0.270, 0.270], [0.797, 0.797, 0.797], [0.479, 0.479, 0.479], [0.084, 0.663, 0.437], [0.207, 0.585, 0.843], [0.437, 0.084, 0.663], [0.585, 0.843, 0.207], [0.663, 0.437, 0.084], [0.843, 0.207, 0.585]]
}